1.
Computed, not measured: a geometry-optimized NaCdGaPt structure at the PBE level of DFT.

Calculated values
**Energy above the lowest structure with this stoichiometry**: 0.0 meV per atom
**Raw total energy**: -3.14 eV per atom
**DFT formation energy**: -0.32 eV per atom

Cell lengths 4.3923, 4.3923, 15.6675 Å; angles 90.00, 90.00, 120.00 degrees
Space group R3m (No. 160, hexagonal axes)
Asymmetric unit:
Na  0.0000  0.0000  0.0000 (multiplicity 3)
Cd  0.0000  0.0000  0.2139 (multiplicity 3)
Ga  0.0000  0.0000  0.4425 (multiplicity 3)
Pt  0.0000  0.0000  0.8004 (multiplicity 3)

2.
Computed, not measured: a geometry-optimized Na2CdGa3Pt4 structure at the PBE level of DFT.

Calculated values
**Raw total energy**: -4.18 eV per atom
**DFT formation energy**: -0.50 eV per atom

Cell lengths 4.1748, 4.1748, 11.1265 Å; angles 90.00, 90.00, 90.00 degrees
Space group P-4m2 (No. 115)
Asymmetric unit:
Na  0.0000  0.5000  0.2416 (multiplicity 2)
Cd  0.0000  0.0000  0.5000 (multiplicity 1)
Ga  0.0000  0.5000  0.8704 (multiplicity 2)
Ga  0.5000  0.5000  0.5000 (multiplicity 1)
Pt  0.0000  0.0000  0.0000 (multiplicity 1)
Pt  0.0000  0.5000  0.6496 (multiplicity 2)
Pt  0.5000  0.5000  0.0000 (multiplicity 1)